A plane-wave DFT calculation with PBE with a Hubbard U was carried out for crystalline Fe2TcO at its relaxed geometry.

Results
Fermi-level density of states, states/eV/cell: 6.20
Symmetry: No. 122
DFT total energy, eV/atom: -6.29

Cell lengths 5.9451, 5.9451, 5.3547 Å; angles 56.28, 56.28, 90.00 degrees
Closest atoms and distances in Å follow each position.
Element x y z (fractional)
1 Fe 0.2061 0.6250 0.2500  2 O 1.98
2 Tc 0.0000 0.0000 0.0000  4 Fe 2.60
3 O 0.5000 0.5000 0.0000  4 Fe 1.98
4 Fe 0.3750 0.4561 0.7500  2 O 1.98
5 Tc 0.7500 0.2500 0.5000  4 Fe 2.60
6 Fe 0.5439 0.1250 0.2500  2 O 1.98
7 Fe 0.8750 0.7939 0.7500  2 O 1.98
8 O 0.2500 0.7500 0.5000  4 Fe 1.98